Density functional theory data (GGA-PBE) for an optimized crystal structure of TaTiV2Br.

Density in g cm⁻³: 7.2
Volume in A^3/atom: 18.819
Crystal system: tetragonal
Total magnetic moment in μB/f.u.: 1.0
Formation energy from raw total energies in eV/atom: 1.487
Energy in eV per atom: -6.444

```
TaTiV2Br
1.0
4.489 0.000 0.000
0.000 4.489 0.000
0.000 0.000 4.669
Ta Ti V Br
1 1 2 1
Direct
0.000 0.000 0.000
0.500 0.500 0.500
0.000 0.500 0.500
0.500 0.000 0.500
0.500 0.500 0.000
```